[1]
ScSi2W: relaxed, PBE-GGA.

* uncorrected formation energy: -0.12 eV per atom
* calculated volume: 62.02 Å³/cell
* distance to the lowest polymorph of the same formula: 262.7 meV/atom

a = 5.1338 Å, b = 5.1338 Å, c = 4.6000 Å
α = 104.86°, β = 104.86°, γ = 32.06°
Last column: nearest neighbours and their distance in Å.
Positions (direct):
Sc1 0.0000 0.0000 0.0000  7 Si 2.66-2.83, 2 Sc 2.84
Si1 0.4638 0.4638 0.4834  4 Si 2.62-2.84, 4 Sc 2.71-2.74, 3 W 2.71-2.76
Si2 0.7574 0.7574 0.1489  4 Si 2.62-2.84, 3 Sc 2.66-2.83, 4 W 2.73-2.76
W1 0.2069 0.2069 0.6162  7 Si 2.71-2.76, 2 W 2.84, 2 Sc 3.02-3.03

[2]
Dy4Y3Zr: relaxed, PBE-GGA.

* ΔH_f (0 K): 4.8 kcal/mol of atoms
* calculated volume: 247.28 Å³/cell

a = 11.4891 Å, b = 11.4891 Å, c = 6.7102 Å
α = 106.95°, β = 106.95°, γ = 16.99°
Last column: nearest neighbours and their distance in Å.
Positions (direct):
Dy1 0.1198 0.1198 0.3541  2 Y 3.14-3.15, 5 Dy 3.39-3.51, 2 Zr 3.48
Dy2 0.2583 0.2583 0.7567  9 Dy 3.39-3.80, 3 Y 3.49-3.51
Dy3 0.7417 0.7417 0.2433  9 Dy 3.39-3.80, 3 Y 3.49-3.51
Dy4 0.8802 0.8802 0.6459  2 Y 3.14-3.15, 5 Dy 3.39-3.51, 2 Zr 3.48
Y1 0.0000 0.0000 0.5000  2 Dy 3.15, 4 Y 3.16-3.39
Y2 0.1203 0.1203 0.8860  4 Dy 3.14-3.51, 3 Y 3.16-3.39, 2 Zr 3.49
Y3 0.8797 0.8797 0.1140  4 Dy 3.14-3.51, 3 Y 3.16-3.39, 2 Zr 3.49
Zr1 0.5000 0.5000 0.0000  2 Zr 3.39, 4 Dy 3.48, 8 Y 3.49-3.76

[3]
YRhNO2: relaxed, PBE-GGA.

* uncorrected formation energy: -1.02 eV per atom
* calculated volume: 61.66 Å³/cell

a = 4.0491 Å, b = 4.0491 Å, c = 3.7606 Å
α = 90.00°, β = 90.00°, γ = 90.00°
Last column: nearest neighbours and their distance in Å.
Positions (direct):
Y1 0.0000 0.0000 0.0000  8 O 2.76, 4 N 2.86
Rh1 0.5000 0.5000 0.5000  2 N 1.88, 4 O 2.02
N1 0.5000 0.5000 0.0000  2 Rh 1.88
O1 0.0000 0.5000 0.5000  2 Rh 2.02
O2 0.5000 0.0000 0.5000  2 Rh 2.02

[4]
CsRbLi2Ir: relaxed, PBE-GGA.

* ΔH_f (0 K): 26.6 kcal/mol of atoms
* calculated volume: 195.39 Å³/cell
* distance to the lowest polymorph of the same formula: 41.7 meV/atom

a = 5.9633 Å, b = 5.9633 Å, c = 5.4946 Å
α = 90.00°, β = 90.00°, γ = 90.00°
Last column: nearest neighbours and their distance in Å.
Positions (direct):
Cs1 0.0000 0.0000 0.0000  8 Li 4.05, 4 Ir 4.22
Rb1 0.5000 0.5000 0.5000  2 Ir 2.75, 4 Li 2.98
Li1 0.0000 0.5000 0.5000  2 Rb 2.98
Li2 0.5000 0.0000 0.5000  2 Rb 2.98
Ir1 0.5000 0.5000 0.0000  2 Rb 2.75

[5]
Ac2NdCl: relaxed, PBE-GGA.

* uncorrected formation energy: -0.44 eV per atom
* calculated volume: 149.16 Å³/cell

a = 12.4065 Å, b = 12.4065 Å, c = 12.4065 Å
α = 17.41°, β = 17.41°, γ = 17.41°
Last column: nearest neighbours and their distance in Å.
Positions (direct):
Ac1 0.1001 0.1001 0.1001  3 Cl 3.26
Ac2 0.8999 0.8999 0.8999  3 Cl 3.26
Nd1 0.0000 0.0000 0.0000  2 Ac 3.67, 6 Nd 3.75
Cl1 0.5000 0.5000 0.5000  6 Ac 3.26

[6]
Dy3Bi5S12: relaxed, PBE-GGA.

* uncorrected formation energy: -0.80 eV per atom
* calculated volume: 2195.82 Å³/cell

a = 14.1821 Å, b = 14.1821 Å, c = 14.1821 Å
α = 109.47°, β = 109.47°, γ = 109.47°
Last column: nearest neighbours and their distance in Å.
Positions (direct):
Dy1 0.1250 0.2500 0.3750  8 S 2.97-3.01
Dy2 0.1250 0.3750 0.7500  8 S 2.97-3.01
Dy3 0.2500 0.3750 0.1250  8 S 2.97-3.01
Dy4 0.2500 0.8750 0.6250  8 S 2.97-3.01
Dy5 0.3750 0.1250 0.2500  8 S 2.97-3.01
Dy6 0.3750 0.7500 0.1250  8 S 2.97-3.01
Dy7 0.6250 0.2500 0.8750  8 S 2.97-3.01
Dy8 0.6250 0.8750 0.7500  8 S 2.97-3.01
Dy9 0.7500 0.1250 0.3750  8 S 2.97-3.01
Dy10 0.7500 0.6250 0.8750  8 S 2.97-3.01
Dy11 0.8750 0.6250 0.2500  8 S 2.97-3.01
Dy12 0.8750 0.7500 0.6250  8 S 2.97-3.01
Bi1 0.0000 0.0000 0.0000  6 S 2.80
Bi2 0.0000 0.0000 0.5000  6 S 2.80
Bi3 0.0000 0.5000 0.0000  6 S 2.80
Bi4 0.0000 0.5000 0.5000  6 S 2.80
Bi5 0.1250 0.7500 0.8750  4 S 2.66
Bi6 0.1250 0.8750 0.2500  4 S 2.66
Bi7 0.2500 0.1250 0.8750  4 S 2.66
Bi8 0.2500 0.6250 0.3750  4 S 2.66
Bi9 0.3750 0.2500 0.6250  4 S 2.66
Bi10 0.3750 0.6250 0.7500  4 S 2.66
Bi11 0.5000 0.0000 0.0000  6 S 2.80
Bi12 0.5000 0.0000 0.5000  6 S 2.80
Bi13 0.5000 0.5000 0.0000  6 S 2.80
Bi14 0.5000 0.5000 0.5000  6 S 2.80
Bi15 0.6250 0.3750 0.2500  4 S 2.66
Bi16 0.6250 0.7500 0.3750  4 S 2.66
Bi17 0.7500 0.3750 0.6250  4 S 2.66
Bi18 0.7500 0.8750 0.1250  4 S 2.66
Bi19 0.8750 0.1250 0.7500  4 S 2.66
Bi20 0.8750 0.2500 0.1250  4 S 2.66
S1 0.0575 0.2266 0.1403  2 Bi 2.66-2.80, 1 Dy 2.97
S2 0.0575 0.3308 0.9172  2 Bi 2.66-2.80, 1 Dy 2.97
S3 0.0828 0.6403 0.4136  2 Bi 2.66-2.80, 1 Dy 2.97
S4 0.0828 0.9425 0.6692  2 Bi 2.66-2.80, 1 Dy 2.97
S5 0.0864 0.7266 0.6692  2 Bi 2.66-2.80, 1 Dy 2.97
S6 0.0864 0.8597 0.4172  2 Bi 2.66-2.80, 1 Dy 2.97
S7 0.1403 0.0575 0.2266  2 Bi 2.66-2.80, 1 Dy 2.97
S8 0.1403 0.5828 0.9136  2 Bi 2.66-2.80, 1 Dy 2.97
S9 0.1692 0.2266 0.5864  2 Bi 2.66-2.80, 1 Dy 2.97
S10 0.1692 0.4425 0.5828  2 Bi 2.66-2.80, 1 Dy 2.97
S11 0.2266 0.1403 0.0575  2 Bi 2.66-2.80, 1 Dy 2.97
S12 0.2266 0.5864 0.1692  2 Bi 2.66-2.80, 1 Dy 2.97
S13 0.2734 0.3308 0.9136  2 Bi 2.66-2.80, 1 Dy 2.97
S14 0.2734 0.4425 0.3597  2 Bi 2.66-2.80, 1 Dy 2.97
S15 0.3308 0.9136 0.2734  2 Bi 2.66-2.80, 1 Dy 2.97
S16 0.3308 0.9172 0.0575  2 Bi 2.66-2.80, 1 Dy 2.97
S17 0.3597 0.2734 0.4425  2 Bi 2.66-2.80, 1 Dy 2.97
S18 0.3597 0.5864 0.9172  2 Bi 2.66-2.80, 1 Dy 2.97
S19 0.4136 0.0828 0.6403  2 Bi 2.66-2.80, 1 Dy 2.97
S20 0.4136 0.8308 0.7734  2 Bi 2.66-2.80, 1 Dy 2.97
S21 0.4172 0.0864 0.8597  2 Bi 2.66-2.80, 1 Dy 2.97
S22 0.4172 0.8308 0.5575  2 Bi 2.66-2.80, 1 Dy 2.97
S23 0.4425 0.3597 0.2734  2 Bi 2.66-2.80, 1 Dy 2.97
S24 0.4425 0.5828 0.1692  2 Bi 2.66-2.80, 1 Dy 2.97
S25 0.5575 0.4172 0.8308  2 Bi 2.66-2.80, 1 Dy 2.97
S26 0.5575 0.6403 0.7266  2 Bi 2.66-2.80, 1 Dy 2.97
S27 0.5828 0.1692 0.4425  2 Bi 2.66-2.80, 1 Dy 2.97
S28 0.5828 0.9136 0.1403  2 Bi 2.66-2.80, 1 Dy 2.97
S29 0.5864 0.1692 0.2266  2 Bi 2.66-2.80, 1 Dy 2.97
S30 0.5864 0.9172 0.3597  2 Bi 2.66-2.80, 1 Dy 2.97
S31 0.6403 0.4136 0.0828  2 Bi 2.66-2.80, 1 Dy 2.97
S32 0.6403 0.7266 0.5575  2 Bi 2.66-2.80, 1 Dy 2.97
S33 0.6692 0.0828 0.9425  2 Bi 2.66-2.80, 1 Dy 2.97
S34 0.6692 0.0864 0.7266  2 Bi 2.66-2.80, 1 Dy 2.97
S35 0.7266 0.5575 0.6403  2 Bi 2.66-2.80, 1 Dy 2.97
S36 0.7266 0.6692 0.0864  2 Bi 2.66-2.80, 1 Dy 2.97
S37 0.7734 0.4136 0.8308  2 Bi 2.66-2.80, 1 Dy 2.97
S38 0.7734 0.8597 0.9425  2 Bi 2.66-2.80, 1 Dy 2.97
S39 0.8308 0.5575 0.4172  2 Bi 2.66-2.80, 1 Dy 2.97
S40 0.8308 0.7734 0.4136  2 Bi 2.66-2.80, 1 Dy 2.97
S41 0.8597 0.4172 0.0864  2 Bi 2.66-2.80, 1 Dy 2.97
S42 0.8597 0.9425 0.7734  2 Bi 2.66-2.80, 1 Dy 2.97
S43 0.9136 0.1403 0.5828  2 Bi 2.66-2.80, 1 Dy 2.97
S44 0.9136 0.2734 0.3308  2 Bi 2.66-2.80, 1 Dy 2.97
S45 0.9172 0.0575 0.3308  2 Bi 2.66-2.80, 1 Dy 2.97
S46 0.9172 0.3597 0.5864  2 Bi 2.66-2.80, 1 Dy 2.97
S47 0.9425 0.6692 0.0828  2 Bi 2.66-2.80, 1 Dy 2.97
S48 0.9425 0.7734 0.8597  2 Bi 2.66-2.80, 1 Dy 2.97

[7]
Mg3IrS: relaxed, PBE-GGA.

* uncorrected formation energy: 0.08 eV per atom
* calculated volume: 118.73 Å³/cell
* distance to the lowest polymorph of the same formula: 41.7 meV/atom

a = 4.9150 Å, b = 4.9150 Å, c = 4.9150 Å
α = 90.00°, β = 90.00°, γ = 90.00°
Last column: nearest neighbours and their distance in Å.
Positions (direct):
Mg1 0.0000 0.0000 0.5000  2 Ir 2.46
Mg2 0.0000 0.5000 0.0000  2 Ir 2.46
Mg3 0.5000 0.0000 0.0000  2 Ir 2.46
Ir1 0.0000 0.0000 0.0000  6 Mg 2.46
S1 0.5000 0.5000 0.5000  12 Mg 3.48

[8]
PmY6Ho: relaxed, PBE-GGA.

* ΔH_f (0 K): 3.5 kcal/mol of atoms
* calculated volume: 267.23 Å³/cell
* distance to the lowest polymorph of the same formula: 0.0 meV/atom

a = 6.4831 Å, b = 6.4831 Å, c = 6.4831 Å
α = 96.20°, β = 96.20°, γ = 96.20°
Last column: nearest neighbours and their distance in Å.
Positions (direct):
Pm1 0.0000 0.0000 0.0000  12 Y 3.52-3.78
Y1 0.0432 0.4553 0.7481  4 Y 3.33-3.38, 1 Ho 3.52, 1 Pm 3.52
Y2 0.2519 0.9568 0.5447  4 Y 3.33-3.38, 1 Ho 3.52, 1 Pm 3.52
Y3 0.4553 0.7481 0.0432  4 Y 3.33-3.38, 1 Ho 3.52, 1 Pm 3.52
Y4 0.5447 0.2519 0.9568  4 Y 3.33-3.38, 1 Ho 3.52, 1 Pm 3.52
Y5 0.7481 0.0432 0.4553  4 Y 3.33-3.38, 1 Ho 3.52, 1 Pm 3.52
Y6 0.9568 0.5447 0.2519  4 Y 3.33-3.38, 1 Ho 3.52, 1 Pm 3.52
Ho1 0.5000 0.5000 0.5000  12 Y 3.52-3.76